1.
A PBEsol-optimized structure of Ba4Mg3. Source: the Alexandria database, functional SCAN.

The calculated formation energy is 0.00 eV/atom. The value obtained for the density of states at the Fermi level is 0.7851 states/eV per atom. As for the energy above the most stable polymorph in this dataset: 0 meV per atom.

Lattice parameters (Å, degrees): 4.229 4.229 17.055 97.12 97.12 90.00
Fractional positions:
Ba  0.436  0.436  0.872
Ba  0.164  0.164  0.328
Ba  0.564  0.564  0.128
Ba  0.836  0.836  0.672
Mg  0.000  0.000  0.000
Mg  0.271  0.271  0.542
Mg  0.729  0.729  0.458

---

2.
A PBEsol-optimized structure of BaMg3. Source: the Alexandria database, functional SCAN.

The calculated formation energy is 0.15 eV/atom. The value obtained for the density of states at the Fermi level is 0.6577 states/eV per atom.

Lattice parameters (Å, degrees): 6.318 6.318 6.318 90.00 90.00 90.00
Fractional positions:
Ba  0.000  0.000  0.000
Ba  0.500  0.500  0.500
Mg  0.500  0.000  0.250
Mg  0.000  0.750  0.500
Mg  0.000  0.250  0.500
Mg  0.250  0.500  0.000
Mg  0.500  0.000  0.750
Mg  0.750  0.500  0.000

---

3.
A PBEsol-optimized structure of Ba3Mg4. Source: the Alexandria database, functional SCAN.

The calculated formation energy is 0.02 eV/atom. The value obtained for the density of states at the Fermi level is 0.9256 states/eV per atom.

Lattice parameters (Å, degrees): 4.009 4.009 16.466 96.99 96.99 90.00
Fractional positions:
Mg  0.880  0.880  0.760
Mg  0.120  0.120  0.240
Mg  0.576  0.576  0.152
Mg  0.424  0.424  0.848
Ba  0.305  0.305  0.610
Ba  0.000  0.000  0.000
Ba  0.695  0.695  0.390

---

4.
A PBEsol-optimized structure of BaMg3. Source: the Alexandria database, functional SCAN.

The calculated formation energy is 0.00 eV/atom. The value obtained for the density of states at the Fermi level is 0.6737 states/eV per atom.

Lattice parameters (Å, degrees): 5.496 5.490 5.490 60.09 59.96 59.96
Fractional positions:
Mg  0.250  0.750  0.750
Mg  0.500  0.000  0.000
Mg  0.750  0.250  0.250
Ba  0.000  0.500  0.500

---

5.
A PBEsol-optimized structure of BaMg3. Source: the Alexandria database, functional SCAN.

The calculated formation energy is 0.13 eV/atom. The value obtained for the density of states at the Fermi level is 1.0979 states/eV per atom.

Lattice parameters (Å, degrees): 5.037 5.037 5.040 90.00 90.00 90.00
Fractional positions:
Mg  0.500  0.500  0.000
Mg  0.000  0.500  0.500
Mg  0.500  0.000  0.500
Ba  0.000  0.000  0.000

---

6.
A PBEsol-optimized structure of BaMg4. Source: the Alexandria database, functional SCAN.

The calculated formation energy is 0.00 eV/atom. The value obtained for the density of states at the Fermi level is 0.5656 states/eV per atom. As for the energy above the most stable polymorph in this dataset: 0 meV per atom.

Lattice parameters (Å, degrees): 5.512 5.832 5.832 77.10 61.80 61.80
Fractional positions:
Mg  0.501  0.697  0.301
Mg  0.198  0.301  0.303
Mg  0.499  0.303  0.699
Mg  0.802  0.699  0.697
Ba  0.000  0.000  0.000

---

7.
A PBEsol-optimized structure of BaMg4. Source: the Alexandria database, functional SCAN.

The calculated formation energy is 0.84 eV/atom. The value obtained for the density of states at the Fermi level is 0.6586 states/eV per atom. As for the energy above the most stable polymorph in this dataset: 836 meV per atom.

Lattice parameters (Å, degrees): 6.673 6.673 6.673 109.47 109.47 109.47
Fractional positions:
Mg  0.000  0.500  0.000
Mg  0.500  0.000  0.000
Mg  0.500  0.500  0.500
Mg  0.000  0.000  0.500
Ba  0.000  0.000  0.000

---

8.
A PBEsol-optimized structure of Ba8Mg. Source: the Alexandria database, functional SCAN.

The calculated formation energy is 0.06 eV/atom. The value obtained for the density of states at the Fermi level is 1.2595 states/eV per atom.

Lattice parameters (Å, degrees): 6.255 9.318 9.318 83.53 70.39 70.39
Fractional positions:
Ba  0.340  0.320  0.000
Ba  0.319  0.681  0.681
Ba  0.660  0.680  0.000
Ba  0.000  0.681  0.319
Ba  0.660  0.000  0.680
Ba  0.681  0.319  0.319
Ba  0.000  0.319  0.681
Ba  0.340  0.000  0.320
Mg  0.000  0.000  0.000